1.
# DyZrNi

Crystalline DyZrNi at its relaxed geometry (PBE-GGA, Alexandria).

Output
Energy relative to the lowest polymorph listed for this composition: 0.000 eV per atom
E_form: -216 meV/atom
Volume: 20.748 Å³/atom
Total magnetization: 0.00 μB per formula unit
Space-group type: Fmmm (69)
Calculated total energy: -6.527 eV/atom
Crystal system: orthorhombic

abc: 5.4115 5.4115 5.5269
angles: 106.11 106.11 115.68
Closest atoms and distances in Å follow each position.
Element x y z (fractional)
1 Dy 0.6743 0.3257 0.0000  4 Ni 2.85
2 Dy 0.3257 0.6743 0.0000  4 Ni 2.85
3 Zr 0.8259 0.8259 0.6518  4 Ni 2.80
4 Zr 0.1741 0.1741 0.3482  4 Ni 2.80
5 Ni 0.7500 0.2500 0.5000  4 Zr 2.80, 4 Dy 2.85, 2 Ni 2.88
6 Ni 0.2500 0.7500 0.5000  4 Zr 2.80, 4 Dy 2.85, 2 Ni 2.88



2.
# Tb6Pm3Dy2Sc

Crystalline Tb6Pm3Dy2Sc at its relaxed geometry (PBE-GGA, Alexandria).

Output
E_form: 27 meV/atom
Volume: 31.804 Å³/atom
Total magnetization: 0.00 μB per formula unit
Space-group type: C2/m (12)
Calculated total energy: -4.771 eV/atom
Crystal system: monoclinic

abc: 6.1623 6.1623 11.7822
angles: 94.99 94.99 119.98
Closest atoms and distances in Å follow each position.
Element x y z (fractional)
1 Tb 0.9189 0.5882 0.7555  1 Sc 3.49, 2 Dy 3.51, 6 Tb 3.53-3.57, 3 Pm 3.60-3.62
2 Tb 0.7505 0.7505 0.2448  1 Sc 3.50, 2 Dy 3.51, 6 Tb 3.53-3.57, 3 Pm 3.60-3.61
3 Tb 0.0811 0.4118 0.2445  1 Sc 3.49, 2 Dy 3.51, 6 Tb 3.53-3.57, 3 Pm 3.60-3.62
4 Tb 0.5882 0.9189 0.7555  1 Sc 3.49, 2 Dy 3.51, 6 Tb 3.53-3.57, 3 Pm 3.60-3.62
5 Tb 0.2495 0.2495 0.7552  1 Sc 3.50, 2 Dy 3.51, 6 Tb 3.53-3.57, 3 Pm 3.60-3.61
6 Tb 0.4118 0.0811 0.2445  1 Sc 3.49, 2 Dy 3.51, 6 Tb 3.53-3.57, 3 Pm 3.60-3.62
7 Pm 0.1666 0.8334 0.5000  6 Pm 3.56, 6 Tb 3.60-3.62
8 Pm 0.8334 0.1666 0.5000  6 Pm 3.56, 6 Tb 3.60-3.62
9 Pm 0.5000 0.5000 0.5000  6 Pm 3.56, 6 Tb 3.60-3.61
10 Dy 0.3336 0.6664 0.0000  6 Tb 3.51, 3 Dy 3.55-3.56, 3 Sc 3.56
11 Dy 0.6664 0.3336 0.0000  6 Tb 3.51, 3 Dy 3.55-3.56, 3 Sc 3.56
12 Sc 0.0000 0.0000 0.0000  6 Tb 3.49-3.50, 6 Dy 3.56



3.
# RbYBr2O

Crystalline RbYBr2O at its relaxed geometry (PBE-GGA, Alexandria).

Output
Energy relative to the lowest polymorph listed for this composition: 0.000 eV per atom
Volume: 33.555 Å³/atom
Formation energy (no corrections): -1674 meV per atom
Total magnetization: 0.00 μB per formula unit
Space-group type: P4/mmm (123)
Calculated total energy: -4.821 eV/atom
Crystal system: tetragonal

abc: 6.4249 4.0644 6.4249
angles: 90.00 90.00 90.00
Closest atoms and distances in Å follow each position.
Element x y z (fractional)
1 Y 0.0000 0.5000 0.0000  2 O 2.03
2 O 0.0000 0.0000 0.0000  2 Y 2.03
3 Br 0.0000 0.0000 0.5000  2 O 3.21
4 Br 0.5000 0.0000 0.0000  2 O 3.21
5 Rb 0.5000 0.5000 0.5000  8 Br 3.80, 2 Rb 4.06



4.
# LuTiAgOs

Crystalline LuTiAgOs at its relaxed geometry (PBE-GGA, Alexandria).

Output
E_form: -199 meV/atom
Volume: 18.005 Å³/atom
Total magnetization: 0.00 μB per formula unit
Space-group type: F-43m (216)
Calculated total energy: -6.823 eV/atom
Crystal system: cubic

abc: 4.6701 4.6701 4.6701
angles: 60.00 60.00 60.00
Closest atoms and distances in Å follow each position.
Element x y z (fractional)
1 Lu 0.7500 0.7500 0.7500  4 Os 2.86, 4 Ag 2.86
2 Os 0.5000 0.5000 0.5000  4 Lu 2.86, 4 Ti 2.86
3 Ag 0.0000 0.0000 0.0000  4 Ti 2.86, 4 Lu 2.86
4 Ti 0.2500 0.2500 0.2500  4 Os 2.86, 4 Ag 2.86



5.
# NdGa3CuRu

Crystalline NdGa3CuRu at its relaxed geometry (PBE-GGA, Alexandria).

Output
E_form: -250 meV/atom
Volume: 18.902 Å³/atom
Total magnetization: 0.00 μB per formula unit
Space-group type: Cmcm (63)
Calculated total energy: -4.787 eV/atom
Crystal system: orthorhombic

abc: 5.8186 6.4082 6.8755
angles: 117.78 90.00 90.00
Closest atoms and distances in Å follow each position.
Element x y z (fractional)
1 Nd 0.7500 0.2663 0.5326  1 Ru 2.66
2 Nd 0.2500 0.7337 0.4674  1 Ru 2.66
3 Ga 0.2500 0.1552 0.3105  1 Cu 2.44, 1 Ru 2.47
4 Ga 0.0000 0.3053 0.0000  1 Ga 2.50, 2 Ru 2.51, 2 Cu 2.60
5 Ga 0.5000 0.6947 0.0000  1 Ga 2.50, 2 Ru 2.51, 2 Cu 2.60
6 Ga 0.5000 0.3053 0.0000  1 Ga 2.50, 2 Ru 2.51, 2 Cu 2.60
7 Ga 0.0000 0.6947 0.0000  1 Ga 2.50, 2 Ru 2.51, 2 Cu 2.60
8 Ga 0.7500 0.8448 0.6895  1 Cu 2.44, 1 Ru 2.47
9 Cu 0.2500 0.3558 0.7117  5 Ga 2.44-2.60
10 Cu 0.7500 0.6442 0.2883  5 Ga 2.44-2.60
11 Ru 0.2500 0.9521 0.9041  5 Ga 2.47-2.51, 1 Nd 2.66
12 Ru 0.7500 0.0479 0.0959  5 Ga 2.47-2.51, 1 Nd 2.66



6.
# BeTeW2

Crystalline BeTeW2 at its relaxed geometry (PBE-GGA, Alexandria).

Output
Energy relative to the lowest polymorph listed for this composition: 0.335 eV per atom
Volume: 15.789 Å³/atom
Formation energy (no corrections): 642 meV per atom
Total magnetization: 0.00 μB per formula unit
Space-group type: Immm (71)
Calculated total energy: -7.551 eV/atom
Crystal system: orthorhombic

abc: 4.8954 4.8954 4.8954
angles: 139.13 122.84 72.63
Closest atoms and distances in Å follow each position.
Element x y z (fractional)
1 Be 0.7500 0.2500 0.5000  4 W 2.33
2 Te 0.2500 0.7500 0.5000  8 W 2.83-2.91, 4 Be 2.90
3 W 0.9507 0.9507 0.0000  2 Be 2.33
4 W 0.5493 0.5493 0.0000  2 Be 2.33



7.
# Pm3UBi4

Crystalline Pm3UBi4 at its relaxed geometry (PBE-GGA, Alexandria).

Output
E_form: -658 meV/atom
Volume: 33.478 Å³/atom
Total magnetization: 2.68 μB per formula unit
Space-group type: Cmmm (65)
Calculated total energy: -5.791 eV/atom
Crystal system: orthorhombic

abc: 4.5360 7.9035 7.9035
angles: 109.05 90.00 90.00
Closest atoms and distances in Å follow each position.
Element x y z (fractional)
1 U 0.5000 0.0000 0.0000  6 Bi 3.18-3.21
2 Bi 0.0000 0.2475 0.2475  2 U 3.21, 4 Pm 3.22-3.24
3 Bi 0.5000 0.7532 0.2468  1 U 3.18, 5 Pm 3.23-3.26
4 Bi 0.0000 0.7525 0.7525  2 U 3.21, 4 Pm 3.22-3.24
5 Bi 0.5000 0.2468 0.7532  1 U 3.18, 5 Pm 3.23-3.26
6 Pm 0.0000 0.0000 0.5000  6 Bi 3.22-3.23
7 Pm 0.5000 0.5000 0.5000  6 Bi 3.24-3.26
8 Pm 0.0000 0.5000 0.0000  6 Bi 3.22-3.23



8.
# Ba2Si2SbAu6

Crystalline Ba2Si2SbAu6 at its relaxed geometry (PBE-GGA, Alexandria).

Output
Volume: 30.728 Å³/atom
Formation energy (no corrections): -415 meV per atom
Total magnetization: 0.00 μB per formula unit
Space-group type: R-3m (166)
Calculated total energy: -3.913 eV/atom
Crystal system: trigonal

abc: 6.6661 6.6661 9.5895
angles: 69.66 69.66 60.00
Closest atoms and distances in Å follow each position.
Element x y z (fractional)
1 Ba 0.7937 0.7937 0.6190  9 Au 3.52-3.63, 3 Si 3.85
2 Ba 0.2063 0.2063 0.3810  9 Au 3.52-3.63, 3 Si 3.85
3 Si 0.4560 0.4560 0.6319  1 Si 2.32, 3 Au 2.38
4 Si 0.5440 0.5440 0.3681  1 Si 2.32, 3 Au 2.38
5 Sb 0.0000 0.0000 0.0000  6 Au 2.80
6 Au 0.7685 0.7685 0.2532  1 Si 2.38
7 Au 0.2097 0.7685 0.2532  1 Si 2.38
8 Au 0.7685 0.2097 0.2532  1 Si 2.38
9 Au 0.2315 0.7903 0.7468  1 Si 2.38
10 Au 0.7903 0.2315 0.7468  1 Si 2.38
11 Au 0.2315 0.2315 0.7468  1 Si 2.38



Please write out number 1 again, unchanged.
# DyZrNi

Crystalline DyZrNi at its relaxed geometry (PBE-GGA, Alexandria).

Output
Energy relative to the lowest polymorph listed for this composition: 0.000 eV per atom
E_form: -216 meV/atom
Volume: 20.748 Å³/atom
Total magnetization: 0.00 μB per formula unit
Space-group type: Fmmm (69)
Calculated total energy: -6.527 eV/atom
Crystal system: orthorhombic

abc: 5.4115 5.4115 5.5269
angles: 106.11 106.11 115.68
Closest atoms and distances in Å follow each position.
Element x y z (fractional)
1 Dy 0.6743 0.3257 0.0000  4 Ni 2.85
2 Dy 0.3257 0.6743 0.0000  4 Ni 2.85
3 Zr 0.8259 0.8259 0.6518  4 Ni 2.80
4 Zr 0.1741 0.1741 0.3482  4 Ni 2.80
5 Ni 0.7500 0.2500 0.5000  4 Zr 2.80, 4 Dy 2.85, 2 Ni 2.88
6 Ni 0.2500 0.7500 0.5000  4 Zr 2.80, 4 Dy 2.85, 2 Ni 2.88